Entry 1:
Compound: LiCaW2
Source: the Alexandria database
Functional: PBEsol
Structure: relaxed

The structure in extended XYZ format:
```
4
Lattice="-0.923 0.655 -3.085 -1.630 -2.851 -0.117 -6.035 3.346 2.516" Properties=species:S:1:pos:R:3 pbc="T T T"
Li -6.121 1.588 0.418
Ca -2.918 1.618 1.216
W -2.391 -0.480 -1.137
W -0.176 0.097 0.073
```

Summary:
The value obtained for the density of states at the Fermi level is 4.6 states/eV/cell. The calculation puts the energy of formation from the pure elements at 0.557 eV per atom.

---

Entry 2:
Compound: MnTl2Sb
Source: the Alexandria database
Functional: PBEsol
Structure: relaxed

The structure in extended XYZ format:
```
4
Lattice="-0.248 3.083 -1.126 -1.711 0.618 -2.743 -8.911 2.560 4.159" Properties=species:S:1:pos:R:3 pbc="T T T"
Sb -5.435 3.130 0.145
Tl -8.393 4.734 0.376
Tl -2.477 1.526 -0.086
Mn 0.000 0.000 0.000
```

Summary:
The value obtained for the density of states at the Fermi level is 3.3 states/eV/cell. The value obtained for the energy above the lowest structure with this stoichiometry is 205 meV/atom. As for the uncorrected formation energy: 0.45 eV/atom.

---

Entry 3:
Compound: RbPAu2
Source: the Alexandria database
Functional: PBEsol
Structure: relaxed

The structure in extended XYZ format:
```
8
Lattice="5.792 0.000 0.000 0.000 5.792 0.000 -2.896 -2.896 7.279" Properties=species:S:1:pos:R:3 pbc="T T T"
Au 1.448 0.000 5.459
Au -1.448 0.000 5.459
Au 2.896 1.448 1.820
Au 2.896 4.344 1.820
P 2.896 2.896 0.000
P 2.896 0.000 3.639
Rb 0.000 2.896 3.639
Rb 0.000 0.000 0.000
```

Summary:
The calculation puts the energy of formation from the pure elements at -0.342 eV per atom.

---

Entry 4:
Compound: LiBe2Pt
Source: the Alexandria database
Functional: PBEsol
Structure: relaxed

The structure in extended XYZ format:
```
4
Lattice="2.758 0.000 0.000 0.000 3.843 0.000 -1.379 -1.922 3.955" Properties=species:S:1:pos:R:3 pbc="T T T"
Be 0.000 1.922 2.131
Be 1.379 1.922 3.889
Pt 1.379 0.000 1.849
Li 1.379 1.922 0.042
```

Summary:
The value obtained for the density of states at the Fermi level is 0.9 states/eV/cell. The calculation puts the energy of formation from the pure elements at -0.395 eV per atom.

---

Entry 5:
Compound: K2CaMn
Source: the Alexandria database
Functional: PBEsol
Structure: relaxed

The structure in extended XYZ format:
```
4
Lattice="3.755 0.000 0.000 0.000 3.755 0.000 0.000 0.000 11.826" Properties=species:S:1:pos:R:3 pbc="T T T"
K 0.000 0.000 2.493
K 0.000 0.000 9.332
Mn 1.878 1.878 0.000
Ca 1.878 1.878 5.913
```

Summary:
The value obtained for the density of states at the Fermi level is 4.7 states/eV/cell. The value obtained for the energy above the lowest structure with this stoichiometry is 43 meV/atom. The calculation puts the energy of formation from the pure elements at 0.808 eV per atom.

---

Entry 6:
Compound: BeNiPCl2
Source: the Alexandria database
Functional: PBEsol
Structure: relaxed

The structure in extended XYZ format:
```
5
Lattice="-2.909 2.755 -0.001 -1.716 -1.811 3.135 2.963 3.129 3.428" Properties=species:S:1:pos:R:3 pbc="T T T"
Ni -0.831 2.037 3.281
Cl -0.858 -0.905 1.568
Cl -1.454 1.377 0.000
Be 0.000 0.000 0.000
P 1.481 1.565 1.714
```

Summary:
The value obtained for the density of states at the Fermi level is 6.0 states/eV/cell. As for the uncorrected formation energy: 0.46 eV/atom.

---

Entry 7:
Compound: Tc2MoRh
Source: the Alexandria database
Functional: PBEsol
Structure: relaxed

The structure in extended XYZ format:
```
4
Lattice="-1.279 -0.103 2.370 4.002 -2.401 0.522 1.579 4.342 1.042" Properties=species:S:1:pos:R:3 pbc="T T T"
Tc 2.897 2.074 1.654
Tc 1.587 4.302 1.044
Mo 4.127 -0.300 2.214
Rh 1.423 -0.179 2.292
```

Summary:
The value obtained for the density of states at the Fermi level is 3.4 states/eV/cell. The value obtained for the energy above the lowest structure with this stoichiometry is 69 meV/atom. The calculation puts the energy of formation from the pure elements at 0.006 eV per atom.

---

Entry 8:
Compound: CaAgAu
Source: the Alexandria database
Functional: PBEsol
Structure: relaxed

The structure in extended XYZ format:
```
3
Lattice="3.659 0.000 0.000 0.000 3.659 0.000 -1.830 -1.830 4.613" Properties=species:S:1:pos:R:3 pbc="T T T"
Ag 1.830 1.830 4.526
Au 0.000 0.000 3.130
Ca 1.830 1.830 1.570
```

Summary:
The value obtained for the density of states at the Fermi level is 1.2 states/eV/cell. The value obtained for the energy above the lowest structure with this stoichiometry is 26 meV/atom. The calculation puts the energy of formation from the pure elements at -0.443 eV per atom.

---

Entry 9:
Compound: Pt2Au
Source: the Alexandria database
Functional: PBEsol
Structure: relaxed

The structure in extended XYZ format:
```
6
Lattice="-2.418 -0.906 0.951 3.614 -1.368 3.885 -1.909 6.367 1.226" Properties=species:S:1:pos:R:3 pbc="T T T"
Au -1.047 1.054 2.316
Au -0.706 4.070 6.051
Pt 1.328 0.390 3.746
Pt -1.921 4.728 3.615
Pt -0.913 3.716 1.236
Pt 0.330 3.017 3.699
```

Summary:
The value obtained for the density of states at the Fermi level is 8.5 states/eV/cell. The value obtained for the energy above the lowest structure with this stoichiometry is 48 meV/atom. The calculation puts the energy of formation from the pure elements at 0.086 eV per atom.

---

Entry 10:
Compound: Cd8Pb
Source: the Alexandria database
Functional: PBEsol
Structure: relaxed

The structure in extended XYZ format:
```
9
Lattice="-4.366 0.882 0.036 -3.379 -5.354 -3.063 -2.746 -2.588 5.935" Properties=species:S:1:pos:R:3 pbc="T T T"
Cd -4.964 -2.117 0.999
Cd -2.379 -0.613 2.076
Cd -3.164 -4.415 -0.006
Cd -5.527 -4.944 1.908
Cd -2.961 -3.528 2.878
Cd -4.734 -1.094 3.895
Cd -2.599 -1.575 -1.054
Cd -5.146 -2.898 -1.974
Pb 0.000 0.000 0.000
```

Summary:
The value obtained for the density of states at the Fermi level is 2.9 states/eV/cell. The calculation puts the energy of formation from the pure elements at 0.032 eV per atom.

---

Entry 11:
Compound: TeAsAu2
Source: the Alexandria database
Functional: PBEsol
Structure: relaxed

The structure in extended XYZ format:
```
4
Lattice="-1.618 2.003 2.198 -2.560 0.335 -2.190 -3.305 -5.915 2.957" Properties=species:S:1:pos:R:3 pbc="T T T"
Te -1.525 -2.730 1.365
As -4.862 -3.794 2.485
Au -3.273 -5.858 2.929
Au -2.780 -0.068 0.622
```

Summary:
The value obtained for the density of states at the Fermi level is 1.3 states/eV/cell. The value obtained for the energy above the lowest structure with this stoichiometry is 188 meV/atom. As for the uncorrected formation energy: 0.21 eV/atom.

---

Entry 12:
Compound: NaSrS3
Source: the Alexandria database
Functional: PBEsol
Structure: relaxed

The structure in extended XYZ format:
```
5
Lattice="4.916 0.000 0.000 0.000 4.916 0.000 0.000 0.000 4.916" Properties=species:S:1:pos:R:3 pbc="T T T"
Na 0.000 0.000 0.000
S 0.000 0.000 2.458
S 0.000 2.458 0.000
S 2.458 0.000 0.000
Sr 2.458 2.458 2.458
```

Summary:
The value obtained for the density of states at the Fermi level is 5.3 states/eV/cell. As for the uncorrected formation energy: -0.35 eV/atom.

---

Entry 13:
Compound: Al3Ag4
Source: the Alexandria database
Functional: PBEsol
Structure: relaxed

The structure in extended XYZ format:
```
7
Lattice="2.917 0.000 0.000 -1.459 6.056 -0.017 0.000 -2.621 6.384" Properties=species:S:1:pos:R:3 pbc="T T T"
Ag 0.000 4.530 1.889
Ag 1.459 2.273 0.850
Ag 1.459 3.409 6.341
Ag 1.459 2.743 3.640
Al 1.459 -1.067 4.577
Al 0.000 0.621 2.692
Al 0.000 1.217 5.475
```

Summary:
The value obtained for the density of states at the Fermi level is 2.1 states/eV/cell. The value obtained for the energy above the lowest structure with this stoichiometry is 6 meV/atom. The calculation puts the energy of formation from the pure elements at -0.078 eV per atom.

---

Entry 14:
Compound: CdPtAu2
Source: the Alexandria database
Functional: PBEsol
Structure: relaxed

The structure in extended XYZ format:
```
4
Lattice="-2.092 0.411 -3.479 0.548 -3.963 -0.797 -2.650 0.910 4.093" Properties=species:S:1:pos:R:3 pbc="T T T"
Au -1.437 -2.415 0.579
Au 0.000 0.000 0.000
Pt -2.757 -0.228 -0.762
Cd -0.772 -1.776 -2.138
```

Summary:
The value obtained for the density of states at the Fermi level is 1.0 states/eV/cell. The calculation puts the energy of formation from the pure elements at -0.154 eV per atom.

---

Entry 15:
Compound: LiNdTiO4
Source: the Alexandria database
Functional: PBEsol
Structure: relaxed

The structure in extended XYZ format:
```
14
Lattice="3.707 0.000 0.000 0.000 3.707 0.000 0.000 0.000 12.034" Properties=species:S:1:pos:R:3 pbc="T T T"
Li 0.000 0.000 6.017
Li 1.853 1.853 6.017
O 0.000 1.853 6.752
O 0.000 0.000 9.031
O 1.853 1.853 9.031
O 0.000 0.000 3.003
O 0.000 1.853 11.117
O 1.853 1.853 3.003
O 1.853 0.000 5.282
O 1.853 0.000 0.917
Ti 0.000 1.853 8.538
Ti 1.853 0.000 3.496
Nd 1.853 0.000 10.635
Nd 0.000 1.853 1.399
```

Summary:
The value obtained for the density of states at the Fermi level is 0.0 states/eV/cell. As for the uncorrected formation energy: -3.06 eV/atom.

---

Entry 16:
Compound: YOs3I
Source: the Alexandria database
Functional: PBEsol
Structure: relaxed

The structure in extended XYZ format:
```
5
Lattice="4.936 0.000 0.000 0.000 4.936 0.000 0.000 0.000 4.936" Properties=species:S:1:pos:R:3 pbc="T T T"
I 2.468 2.468 2.468
Os 0.000 0.000 2.468
Os 2.468 0.000 0.000
Os 0.000 2.468 0.000
Y 0.000 0.000 0.000
```

Summary:
The value obtained for the density of states at the Fermi level is 6.4 states/eV/cell. As for the uncorrected formation energy: 3.10 eV/atom.

---

Entry 17:
Compound: FeTe2MoI
Source: the Alexandria database
Functional: PBEsol
Structure: relaxed

The structure in extended XYZ format:
```
5
Lattice="-2.071 -4.448 -0.388 4.122 -1.740 -2.050 1.842 -1.275 4.787" Properties=species:S:1:pos:R:3 pbc="T T T"
Te 2.061 -0.870 -1.025
Te -1.035 -2.224 -0.194
Fe 0.000 0.000 0.000
Mo 1.947 -3.732 1.175
I 0.921 -0.638 2.394
```

Summary:
The value obtained for the density of states at the Fermi level is 7.8 states/eV/cell. As for the uncorrected formation energy: 1.13 eV/atom.

---

Entry 18:
Compound: LiCd2In
Source: the Alexandria database
Functional: PBEsol
Structure: relaxed

The structure in extended XYZ format:
```
4
Lattice="3.062 0.000 0.000 0.000 3.062 0.000 0.000 0.000 8.714" Properties=species:S:1:pos:R:3 pbc="T T T"
Cd 1.531 1.531 2.119
Cd 0.000 0.000 8.594
Li 1.531 1.531 6.599
In 0.000 0.000 4.472
```

Summary:
The value obtained for the density of states at the Fermi level is 1.2 states/eV/cell. The calculation puts the energy of formation from the pure elements at -0.140 eV per atom.

---

Entry 19:
Compound: RuSN2O
Source: the Alexandria database
Functional: PBEsol
Structure: relaxed

The structure in extended XYZ format:
```
5
Lattice="3.453 0.000 0.000 0.000 3.575 0.000 0.000 0.000 3.575" Properties=species:S:1:pos:R:3 pbc="T T T"
S 0.000 0.000 0.000
N 0.000 1.788 0.000
N 0.000 0.000 1.788
Ru 1.727 1.788 1.788
O 1.727 0.000 0.000
```

Summary:
The value obtained for the density of states at the Fermi level is 3.1 states/eV/cell. As for the uncorrected formation energy: 1.35 eV/atom.

---

Entry 20:
Compound: Zr2TeIr
Source: the Alexandria database
Functional: PBEsol
Structure: relaxed

The structure in extended XYZ format:
```
4
Lattice="3.996 0.000 0.000 0.000 3.996 0.000 -1.998 -1.998 4.798" Properties=species:S:1:pos:R:3 pbc="T T T"
Zr 0.000 0.000 0.000
Zr 1.998 0.000 2.399
Te 0.000 1.998 2.399
Ir 1.998 1.998 0.000
```

Summary:
The value obtained for the density of states at the Fermi level is 2.5 states/eV/cell. As for the uncorrected formation energy: -0.54 eV/atom.

---

| no. | raw total energy (eV/atom) |
| --- | --- |
| 1 | -7.37 |
| 2 | -4.44 |
| 3 | -4.01 |
| 4 | -4.63 |
| 5 | -2.73 |
| 6 | -3.53 |
| 7 | -10.60 |
| 8 | -3.57 |
| 9 | -5.86 |
| 10 | -1.48 |
| 11 | -3.91 |
| 12 | -3.63 |
| 13 | -3.72 |
| 14 | -4.16 |
| 15 | -8.27 |
| 16 | -5.95 |
| 17 | -4.78 |
| 18 | -1.98 |
| 19 | -6.02 |
| 20 | -8.42 |